No. 1
{
  "formula": "Cs3Ga2F8",
  "functional": "PBE-GGA",
  "state": "optimized geometry",
  "lattice_angstrom": [[0.7306, 5.9581, 3.1068], [-3.9055, 1.5525, 5.2936], [3.8551, -0.4393, 7.2882]],
  "species": ["Cs", "Cs", "Cs", "Ga", "Ga", "F", "F", "F", "F", "F", "F", "F", "F"],
  "fractional_positions": [[0.0000, 0.0000, 0.0000], [0.2145, 0.2145, 0.3564], [0.7855, 0.7855, 0.6436], [0.4330, 0.4330, 0.7010], [0.5670, 0.5670, 0.2990], [0.3480, 0.3480, 0.9560], [0.6520, 0.6520, 0.0440], [0.2785, 0.7604, 0.6826], [0.7604, 0.2785, 0.6826], [0.2785, 0.2785, 0.6826], [0.2396, 0.7215, 0.3174], [0.7215, 0.2396, 0.3174], [0.7215, 0.7215, 0.3174]],
  "vol_a3_per_atom": 22.14,
  "e_form_raw_ev_per_atom": -2.6082
}

No. 2
{
  "formula": "NaHoHgTe3",
  "functional": "PBE-GGA",
  "state": "optimized geometry",
  "lattice_angstrom": [[-1.3798, -3.8819, 1.6874], [8.2432, -1.7770, 2.6525], [-4.6659, 5.2247, 8.2042]],
  "species": ["Na", "Na", "Ho", "Ho", "Hg", "Hg", "Te", "Te", "Te", "Te", "Te", "Te"],
  "fractional_positions": [[0.2500, 0.2031, 0.2035], [0.7500, 0.7969, 0.7965], [0.2500, 0.6758, 0.1473], [0.7500, 0.3242, 0.8527], [0.2500, 0.0898, 0.6054], [0.7500, 0.9102, 0.3946], [0.7500, 0.9207, 0.1352], [0.2500, 0.0793, 0.8648], [0.2500, 0.7377, 0.4555], [0.7500, 0.2623, 0.5445], [0.7500, 0.4378, 0.1492], [0.2500, 0.5622, 0.8508]],
  "vol_a3_per_atom": 34.04,
  "e_form_raw_ev_per_atom": -0.8530
}

No. 3
{
  "formula": "SmTlGa",
  "functional": "PBE-GGA",
  "state": "optimized geometry",
  "lattice_angstrom": [[4.2795, 0.0001, 0.0358], [2.1394, 3.7061, 0.0310], [-0.0841, -0.0360, 10.0931]],
  "species": ["Sm", "Sm", "Tl", "Tl", "Ga", "Ga"],
  "fractional_positions": [[0.0000, 0.5000, 0.7957], [0.0000, 0.5000, 0.2043], [0.6667, 0.1667, 0.4132], [0.3333, 0.8333, 0.5868], [0.6667, 0.1667, 0.9763], [0.3333, 0.8333, 0.0237]],
  "vol_a3_per_atom": 26.68,
  "delta_e_f_ev_per_fu": -1.1
}

No. 4
{
  "formula": "LaEr5Cd4",
  "functional": "PBE-GGA",
  "state": "optimized geometry",
  "lattice_angstrom": [[3.7002, 0.0000, 0.0000], [0.0000, 3.7002, 0.0000], [0.0000, 0.0000, 19.9873]],
  "species": ["La", "Er", "Er", "Er", "Er", "Er", "Cd", "Cd", "Cd", "Cd"],
  "fractional_positions": [[0.0000, 0.0000, 0.0000], [0.5000, 0.5000, 0.1260], [0.5000, 0.5000, 0.3130], [0.5000, 0.5000, 0.5000], [0.5000, 0.5000, 0.6870], [0.5000, 0.5000, 0.8740], [0.0000, 0.0000, 0.2182], [0.0000, 0.0000, 0.4058], [0.0000, 0.0000, 0.5942], [0.0000, 0.0000, 0.7817]],
  "vol_a3_per_atom": 27.36,
  "delta_e_f_ev_per_fu": -2.4
}

No. 5
{
  "formula": "Sm5ErPb5",
  "functional": "PBE-GGA",
  "state": "optimized geometry",
  "lattice_angstrom": [[6.3458, 0.0000, 0.0000], [-3.1729, 8.0153, 0.5792], [0.0000, -2.3311, 7.0924]],
  "species": ["Sm", "Sm", "Sm", "Sm", "Sm", "Er", "Pb", "Pb", "Pb", "Pb", "Pb"],
  "fractional_positions": [[0.6682, 0.3364, 0.3242], [0.6611, 0.3222, 0.8203], [0.0000, 0.0000, 0.5000], [0.3389, 0.6778, 0.1797], [0.3318, 0.6636, 0.6758], [0.0000, 0.0000, 0.0000], [0.8341, 0.6683, 0.1524], [0.8350, 0.6700, 0.6626], [0.5000, 0.0000, 0.0000], [0.1650, 0.3300, 0.3374], [0.1659, 0.3317, 0.8476]],
  "vol_a3_per_atom": 33.57,
  "delta_e_f_ev_per_fu": -3.4
}

No. 6
{
  "formula": "SrRhW",
  "functional": "PBE-GGA",
  "state": "optimized geometry",
  "lattice_angstrom": [[4.6284, 0.0000, 0.0000], [2.3142, 4.0083, 0.0000], [2.3142, 1.3361, 3.7791]],
  "species": ["Rh", "Sr", "W"],
  "fractional_positions": [[0.7500, 0.7500, 0.7500], [0.0000, 0.0000, 0.0000], [0.5000, 0.5000, 0.5000]],
  "vol_a3_per_atom": 23.37,
  "delta_e_f_ev_per_fu": 3.2
}